Entry from Alexandria: a geometry-optimized CaYAl2Zn2 structure (PBE).

**Volume**: 130.5 Å³/f.u.
**Formation energy from the elements**: -0.38 eV/atom
**SG**: P-3m1, No. 164
**D(E_F)**: 3.53 states/eV/cell

The structure in POSCAR format:
```
CaYAl2Zn2
1.0
4.544 0.000 0.000
-2.272 3.935 0.000
0.000 0.000 7.298
Ca Y Al Zn
1 1 2 2
Direct
0.000 0.000 0.000
0.000 0.000 0.500
0.333 0.667 0.721
0.667 0.333 0.279
0.333 0.667 0.280
0.667 0.333 0.720
```